{
  "formula": "Pa4P2OsS",
  "functional": "PBE",
  "state": "optimized geometry",
  "energy_ev_per_cell": -72.97,
  "m_tot_mub_per_cell": 0.000,
  "e_form_raw_kj_per_mol_atoms": -106.2,
  "mass_density_g_cm3": 11.362,
  "lattice_angstrom": [[6.9112, 0.0000, 0.0000], [0.0000, 3.8868, 0.0000], [-2.2159, 0.0000, 6.5745]],
  "species": ["Pa", "Pa", "Pa", "Pa", "P", "P", "Os", "S"],
  "frac_coords": [[0.2432, 0.0000, 0.2441], [0.2475, 0.5000, 0.7514], [0.7525, 0.5000, 0.2486], [0.7568, 0.0000, 0.7559], [0.0000, 0.0000, 0.5000], [0.5000, 0.5000, 0.5000], [0.0000, 0.5000, 0.0000], [0.5000, 0.0000, 0.0000]]
}


{
  "formula": "Pa4POsSe2",
  "functional": "PBE",
  "state": "optimized geometry",
  "energy_ev_per_cell": -69.85,
  "m_tot_mub_per_cell": 0.000,
  "e_form_raw_kj_per_mol_atoms": -99.5,
  "mass_density_g_cm3": 11.511,
  "lattice_angstrom": [[7.0648, 0.0000, 0.0000], [0.0000, 3.9286, 0.0000], [-2.2195, 0.0000, 6.7735]],
  "species": ["Pa", "Pa", "Pa", "Pa", "P", "Os", "Se", "Se"],
  "frac_coords": [[0.2379, 0.0000, 0.2249], [0.2550, 0.5000, 0.7705], [0.7450, 0.5000, 0.2295], [0.7621, 0.0000, 0.7751], [0.5000, 0.0000, 0.0000], [0.0000, 0.5000, 0.0000], [0.0000, 0.0000, 0.5000], [0.5000, 0.5000, 0.5000]]
}


{
  "formula": "Pa6POs2Se3",
  "functional": "PBE",
  "state": "optimized geometry",
  "energy_ev_per_cell": -106.54,
  "m_tot_mub_per_cell": 0.000,
  "e_form_raw_kj_per_mol_atoms": -90.4,
  "mass_density_g_cm3": 11.856,
  "lattice_angstrom": [[3.4774, -6.0100, 0.0000], [3.4774, 6.0100, 0.0000], [-2.3254, 0.0000, 6.8175]],
  "species": ["Pa", "Pa", "Pa", "Pa", "Pa", "Pa", "P", "Os", "Os", "Se", "Se", "Se"],
  "frac_coords": [[0.0848, 0.4243, 0.7728], [0.2355, 0.2355, 0.2245], [0.4243, 0.0848, 0.7728], [0.5757, 0.9152, 0.2272], [0.7645, 0.7645, 0.7755], [0.9152, 0.5757, 0.2272], [0.5000, 0.5000, 0.0000], [0.1670, 0.8330, 0.0000], [0.8330, 0.1670, 0.0000], [0.0000, 0.0000, 0.5000], [0.3377, 0.6623, 0.5000], [0.6623, 0.3377, 0.5000]]
}


{
  "formula": "PaSiPOs",
  "functional": "PBE",
  "state": "optimized geometry",
  "energy_ev_per_cell": -69.69,
  "m_tot_mub_per_cell": 0.000,
  "e_form_raw_kj_per_mol_atoms": -79.2,
  "mass_density_g_cm3": 10.950,
  "lattice_angstrom": [[4.0892, 0.0000, 0.0000], [0.0000, 4.0892, 0.0000], [0.0000, 0.0000, 8.7117]],
  "species": ["Pa", "Pa", "Si", "Si", "P", "P", "Os", "Os"],
  "frac_coords": [[0.2500, 0.2500, 0.2169], [0.7500, 0.7500, 0.7831], [0.2500, 0.2500, 0.6378], [0.7500, 0.7500, 0.3622], [0.2500, 0.2500, 0.8916], [0.7500, 0.7500, 0.1084], [0.2500, 0.7500, 0.5000], [0.7500, 0.2500, 0.5000]]
}


{
  "formula": "PaTcP2Os",
  "functional": "PBE",
  "state": "optimized geometry",
  "energy_ev_per_cell": -91.57,
  "m_tot_mub_per_cell": 0.000,
  "mass_density_g_cm3": 11.957,
  "e_form_kj_per_mol_atoms": -74.7,
  "lattice_angstrom": [[4.1216, 0.0000, 0.0000], [0.0000, 4.1216, 0.0000], [0.0000, 0.0000, 9.5026]],
  "species": ["Pa", "Pa", "Tc", "Tc", "P", "P", "P", "P", "Os", "Os"],
  "frac_coords": [[0.0000, 0.0000, 0.0000], [0.5000, 0.5000, 0.5000], [0.0000, 0.5000, 0.2500], [0.5000, 0.0000, 0.7500], [0.0000, 0.0000, 0.3750], [0.0000, 0.0000, 0.6250], [0.5000, 0.5000, 0.1250], [0.5000, 0.5000, 0.8750], [0.0000, 0.5000, 0.7500], [0.5000, 0.0000, 0.2500]]
}


{
  "formula": "Pa4Te2POs",
  "functional": "PBE",
  "state": "optimized geometry",
  "energy_ev_per_cell": -67.26,
  "m_tot_mub_per_cell": 0.000,
  "e_form_raw_kj_per_mol_atoms": -76.7,
  "mass_density_g_cm3": 11.241,
  "lattice_angstrom": [[7.2016, 0.0000, 0.0000], [0.0000, 4.0032, 0.0000], [-2.2788, 0.0000, 7.1764]],
  "species": ["Pa", "Pa", "Pa", "Pa", "Te", "Te", "P", "Os"],
  "frac_coords": [[0.2313, 0.0000, 0.2027], [0.2642, 0.5000, 0.7928], [0.7358, 0.5000, 0.2072], [0.7687, 0.0000, 0.7973], [0.0000, 0.0000, 0.5000], [0.5000, 0.5000, 0.5000], [0.5000, 0.0000, 0.0000], [0.0000, 0.5000, 0.0000]]
}


{
  "formula": "POs2Pb",
  "functional": "PBE",
  "state": "optimized geometry",
  "energy_ev_per_cell": -56.79,
  "m_tot_mub_per_cell": 0.000,
  "mass_density_g_cm3": 13.711,
  "e_form_kj_per_mol_atoms": 76.8,
  "e_above_lowest_polymorph_mev_per_atom": 494,
  "lattice_angstrom": [[2.9479, 0.0000, 0.0000], [0.0000, 5.0578, 0.0000], [0.0000, 0.0000, 10.0502]],
  "species": ["P", "P", "Os", "Os", "Os", "Os", "Pb", "Pb"],
  "frac_coords": [[0.0000, 0.0000, 0.0000], [0.5000, 0.5000, 0.0000], [0.0000, 0.0000, 0.5964], [0.0000, 0.5000, 0.8197], [0.5000, 0.0000, 0.8197], [0.5000, 0.5000, 0.5964], [0.0000, 0.5000, 0.3405], [0.5000, 0.0000, 0.3405]]
}


{
  "formula": "POs2Pb",
  "functional": "PBE",
  "state": "optimized geometry",
  "energy_ev_per_cell": -27.08,
  "m_tot_mub_per_cell": 0.000,
  "mass_density_g_cm3": 15.029,
  "e_form_kj_per_mol_atoms": 108.5,
  "e_above_lowest_polymorph_mev_per_atom": 822,
  "lattice_angstrom": [[3.0414, 0.0000, 0.0000], [0.0000, 4.3222, 0.0000], [0.0000, 0.0000, 5.1995]],
  "species": ["P", "Os", "Os", "Pb"],
  "frac_coords": [[0.0000, 0.0000, 0.0000], [0.0000, 0.5000, 0.5000], [0.5000, 0.5000, 0.0000], [0.5000, 0.0000, 0.5000]]
}


| no. | volume (Å³/cell) |
| --- | --- |
| 1 | 176.61 |
| 2 | 188.00 |
| 3 | 284.96 |
| 4 | 145.68 |
| 5 | 161.43 |
| 6 | 206.89 |
| 7 | 149.85 |
| 8 | 68.35 |